TaFeTe: single point on PBEsol structure, meta-GGA SCAN.

## Properties
- space-group type = P3m1 (156)
- ΔE_f (raw) (eV/atom) = 0.367
- magnetic moment (μB per atom) = 0.3139
- final energy (eV per atom) = -40.288

Unit cell a=3.2531 b=4.1717 c=4.1717 alpha=120.00 beta=90.00 gamma=90.00
Last column: nearest neighbours and their distance in Å.
Fractional positions:
Te  0.2030  0.6667  0.3333  3 Fe 2.43
Fe  0.0989  0.0000  0.0000  3 Te 2.43
Ta  0.6982  0.3333  0.6667  3 Fe 2.74, 6 Te 2.90-2.92

Ta4FeTe4: single point on PBEsol structure, meta-GGA SCAN.

## Properties
- space-group type = Pbam (55)
- ΔE_f (raw) (eV/atom) = -0.355
- magnetic moment (μB per atom) = 0.0000
- final energy (eV per atom) = -48.518

Unit cell a=4.8010 b=10.4839 c=18.2381 alpha=90.00 beta=90.00 gamma=90.00
Last column: nearest neighbours and their distance in Å.
Fractional positions:
Te  0.5000  0.3581  0.9335  4 Ta 2.83-2.92
Te  0.5000  0.8859  0.7950  4 Ta 2.83-2.92
Te  0.5000  0.8581  0.5665  4 Ta 2.83-2.92
Te  0.5000  0.6141  0.2950  4 Ta 2.83-2.92
Te  0.0000  0.3294  0.3089  4 Ta 2.82-2.92
Te  0.5000  0.1419  0.4335  4 Ta 2.83-2.92
Te  0.0000  0.6706  0.6911  4 Ta 2.82-2.92
Te  0.0000  0.8354  0.4013  4 Ta 2.83-2.92
Te  0.0000  0.6646  0.9013  4 Ta 2.83-2.92
Te  0.0000  0.3354  0.0987  4 Ta 2.83-2.92
Te  0.0000  0.8294  0.1911  4 Ta 2.82-2.92
Te  0.5000  0.1141  0.2050  4 Ta 2.83-2.92
Te  0.0000  0.1646  0.5987  4 Ta 2.83-2.92
Te  0.5000  0.3859  0.7050  4 Ta 2.83-2.92
Te  0.5000  0.6419  0.0665  4 Ta 2.83-2.92
Te  0.0000  0.1706  0.8089  4 Ta 2.82-2.92
Ta  0.5000  0.3064  0.5570  2 Fe 2.58, 2 Te 2.83-2.84
Ta  0.5000  0.0990  0.8899  2 Fe 2.56, 2 Te 2.83
Ta  0.5000  0.4010  0.3899  2 Fe 2.56, 2 Te 2.83
Ta  0.0000  0.2928  0.4621  2 Fe 2.58, 2 Te 2.82-2.83
Ta  0.0000  0.4333  0.6179  2 Fe 2.56, 2 Te 2.82-2.84
Ta  0.0000  0.7928  0.0379  2 Fe 2.58, 2 Te 2.82-2.83
Ta  0.0000  0.7072  0.5379  2 Fe 2.58, 2 Te 2.82-2.83
Ta  0.5000  0.9010  0.1101  2 Fe 2.56, 2 Te 2.83
Ta  0.5000  0.1936  0.0570  2 Fe 2.58, 2 Te 2.83-2.84
Ta  0.5000  0.8064  0.9430  2 Fe 2.58, 2 Te 2.83-2.84
Ta  0.0000  0.9333  0.8821  2 Fe 2.56, 2 Te 2.82-2.84
Ta  0.5000  0.5990  0.6101  2 Fe 2.56, 2 Te 2.83
Ta  0.0000  0.2072  0.9621  2 Fe 2.58, 2 Te 2.82-2.83
Ta  0.0000  0.5667  0.3821  2 Fe 2.56, 2 Te 2.82-2.84
Ta  0.0000  0.0667  0.1179  2 Fe 2.56, 2 Te 2.82-2.84
Ta  0.5000  0.6936  0.4430  2 Fe 2.58, 2 Te 2.83-2.84
Fe  0.7500  0.0000  0.0000  2 Fe 2.40, 8 Ta 2.56-2.58
Fe  0.7500  0.5000  0.5000  2 Fe 2.40, 8 Ta 2.56-2.58
Fe  0.2500  0.5000  0.5000  2 Fe 2.40, 8 Ta 2.56-2.58
Fe  0.2500  0.0000  0.0000  2 Fe 2.40, 8 Ta 2.56-2.58

TaTi3Fe: single point on PBEsol structure, meta-GGA SCAN.

## Properties
- space-group type = Pm-3m (221)
- formation enthalpy at 0 K (meV/atom) = 1282.4
- magnetic moment (μB per atom) = 0.3819
- final energy (eV per atom) = -25.278

Unit cell a=4.6917 b=4.6917 c=4.6917 alpha=90.00 beta=90.00 gamma=90.00
Last column: nearest neighbours and their distance in Å.
Fractional positions:
Ti  0.0000  0.5000  0.0000  2 Ta 2.35
Ti  0.5000  0.0000  0.0000  2 Ta 2.35
Ti  0.0000  0.0000  0.5000  2 Ta 2.35
Fe  0.5000  0.5000  0.5000  12 Ti 3.32
Ta  0.0000  0.0000  0.0000  6 Ti 2.35

Ta2TlFe: single point on PBEsol structure, meta-GGA SCAN.

## Properties
- space-group type = P2/m (10)
- formation enthalpy at 0 K (meV/atom) = 307.2
- E above lowest polymorph (eV/atom) = 0.022
- magnetic moment (μB per atom) = 0.5281
- final energy (eV per atom) = -55.606

Unit cell a=2.9402 b=3.8346 c=5.9919 alpha=90.00 beta=96.47 gamma=90.00
Last column: nearest neighbours and their distance in Å.
Fractional positions:
Ta  0.9310  0.0000  0.7113  2 Fe 2.55, 1 Ta 2.61
Ta  0.0690  0.0000  0.2887  2 Fe 2.55, 1 Ta 2.61
Tl  0.5000  0.5000  0.0000  2 Tl 2.94, 8 Ta 2.96-2.97, 2 Fe 3.00
Fe  0.5000  0.5000  0.5000  4 Ta 2.55

Ta2TlFe: single point on PBEsol structure, meta-GGA SCAN.

## Properties
- space-group type = R-3m (166)
- formation enthalpy at 0 K (meV/atom) = 454.0
- E above lowest polymorph (eV/atom) = 0.169
- magnetic moment (μB per atom) = 0.5475
- final energy (eV per atom) = -55.460

Unit cell a=3.0125 b=3.0125 c=8.9608 alpha=80.32 beta=80.32 gamma=60.00
Last column: nearest neighbours and their distance in Å.
Fractional positions:
Tl  0.5000  0.5000  0.5000  6 Tl 3.01, 6 Ta 3.06
Ta  0.2622  0.2622  0.2133  3 Fe 2.56
Ta  0.7378  0.7378  0.7867  3 Fe 2.56
Fe  0.0000  0.0000  0.0000  6 Ta 2.56

Ta3TlFe: single point on PBEsol structure, meta-GGA SCAN.

## Properties
- space-group type = Pm-3m (221)
- formation enthalpy at 0 K (meV/atom) = 2661.0
- magnetic moment (μB per atom) = 0.7833
- final energy (eV per atom) = -55.387

Unit cell a=4.9836 b=4.9836 c=4.9836 alpha=90.00 beta=90.00 gamma=90.00
Last column: nearest neighbours and their distance in Å.
Fractional positions:
Tl  0.0000  0.0000  0.0000  6 Ta 2.49
Ta  0.0000  0.0000  0.5000  2 Tl 2.49
Ta  0.5000  0.0000  0.0000  2 Tl 2.49
Ta  0.0000  0.5000  0.0000  2 Tl 2.49
Fe  0.5000  0.5000  0.5000  12 Ta 3.52

Ta2TlFe: single point on PBEsol structure, meta-GGA SCAN.

## Properties
- space-group type = R3m (160)
- formation enthalpy at 0 K (meV/atom) = 421.6
- E above lowest polymorph (eV/atom) = 0.136
- magnetic moment (μB per atom) = 0.3470
- final energy (eV per atom) = -55.492

Unit cell a=3.0458 b=3.0458 c=8.8986 alpha=80.15 beta=80.15 gamma=60.00
Last column: nearest neighbours and their distance in Å.
Fractional positions:
Fe  0.2572  0.2572  0.2284  3 Ta 2.47
Ta  0.9904  0.9904  0.0288  3 Fe 2.47
Ta  0.7448  0.7448  0.7655  9 Ta 2.89-3.05, 3 Tl 3.07
Tl  0.5075  0.5075  0.4774  3 Fe 2.79, 6 Tl 3.05, 3 Ta 3.07

Ta2TlFe: single point on PBEsol structure, meta-GGA SCAN.

## Properties
- space-group type = Pmmm (47)
- formation enthalpy at 0 K (meV/atom) = 285.4
- E above lowest polymorph (eV/atom) = 0.000
- magnetic moment (μB per atom) = 0.5926
- final energy (eV per atom) = -55.628

Unit cell a=3.7055 b=4.1531 c=4.3345 alpha=90.00 beta=90.00 gamma=90.00
Last column: nearest neighbours and their distance in Å.
Fractional positions:
Ta  0.5000  0.5000  0.0000  4 Ta 2.78, 4 Fe 2.85, 4 Tl 3.00
Ta  0.0000  0.0000  0.0000  4 Ta 2.78, 4 Tl 2.85, 4 Fe 3.00
Tl  0.5000  0.0000  0.5000  4 Fe 2.78, 8 Ta 2.85-3.00
Fe  0.0000  0.5000  0.5000  4 Tl 2.78, 8 Ta 2.85-3.00

Ta2TlFe: single point on PBEsol structure, meta-GGA SCAN.

## Properties
- space-group type = Fm-3m (225)
- formation enthalpy at 0 K (meV/atom) = 472.0
- E above lowest polymorph (eV/atom) = 0.187
- magnetic moment (μB per atom) = 0.5635
- final energy (eV per atom) = -55.442

Unit cell a=4.5787 b=4.5787 c=4.5787 alpha=60.00 beta=60.00 gamma=60.00
Last column: nearest neighbours and their distance in Å.
Fractional positions:
Ta  0.2500  0.2500  0.2500  4 Tl 2.80, 4 Fe 2.80
Ta  0.7500  0.7500  0.7500  4 Tl 2.80, 4 Fe 2.80
Fe  0.0000  0.0000  0.0000  8 Ta 2.80
Tl  0.5000  0.5000  0.5000  8 Ta 2.80

TaTlFe2: single point on PBEsol structure, meta-GGA SCAN.

## Properties
- space-group type = Cmmm (65)
- formation enthalpy at 0 K (meV/atom) = 421.0
- magnetic moment (μB per atom) = 1.1431
- final energy (eV per atom) = -43.379

Unit cell a=2.8175 b=2.8175 c=8.2411 alpha=90.00 beta=90.00 gamma=107.56
Last column: nearest neighbours and their distance in Å.
Fractional positions:
Fe  0.0000  0.0000  0.2654  2 Ta 2.55, 2 Tl 2.75, 4 Fe 2.82
Fe  0.0000  0.0000  0.7346  2 Ta 2.55, 2 Tl 2.75, 4 Fe 2.82
Tl  0.5000  0.5000  0.0000  4 Fe 2.75, 4 Tl 2.82
Ta  0.5000  0.5000  0.5000  4 Fe 2.55, 4 Ta 2.82

TaFe2W: single point on PBEsol structure, meta-GGA SCAN.

## Properties
- space-group type = P4/mmm (123)
- formation enthalpy at 0 K (meV/atom) = 28.7
- magnetic moment (μB per atom) = 0.7377
- final energy (eV per atom) = -43.104

Unit cell a=2.9977 b=4.2413 c=4.2413 alpha=90.00 beta=90.00 gamma=90.00
Last column: nearest neighbours and their distance in Å.
Fractional positions:
Ta  0.5000  0.5000  0.5000  8 Fe 2.60
Fe  0.0000  0.5000  0.0000  4 W 2.60, 4 Ta 2.60
Fe  0.0000  0.0000  0.5000  4 Ta 2.60, 4 W 2.60
W  0.5000  0.0000  0.0000  8 Fe 2.60

TaFe4W: single point on PBEsol structure, meta-GGA SCAN.

## Properties
- space-group type = P-3m1 (164)
- formation enthalpy at 0 K (meV/atom) = 10.6
- magnetic moment (μB per atom) = 0.2404
- final energy (eV per atom) = -34.788

Unit cell a=4.6547 b=4.6547 c=7.6916 alpha=90.00 beta=90.00 gamma=120.00
Last column: nearest neighbours and their distance in Å.
Fractional positions:
Fe  0.8293  0.6587  0.2477  6 Fe 2.27-2.38
Fe  0.0000  0.0000  0.0000  6 Fe 2.35
Fe  0.1707  0.8293  0.7523  6 Fe 2.27-2.38
Fe  0.1707  0.3413  0.7523  6 Fe 2.27-2.38
Fe  0.0000  0.0000  0.5000  6 Fe 2.38
Fe  0.3413  0.1707  0.2477  6 Fe 2.27-2.38
Fe  0.8293  0.1707  0.2477  6 Fe 2.27-2.38
Fe  0.6587  0.8293  0.7523  6 Fe 2.27-2.38
W  0.3333  0.6667  0.0634  12 Fe 2.73, 1 Ta 2.82, 3 W 2.86
W  0.6667  0.3333  0.9366  12 Fe 2.73, 1 Ta 2.82, 3 W 2.86
Ta  0.3333  0.6667  0.4294  12 Fe 2.71-2.81, 1 W 2.82, 3 Ta 2.90
Ta  0.6667  0.3333  0.5706  12 Fe 2.71-2.81, 1 W 2.82, 3 Ta 2.90